Record 1
The following is a PBE calculation of an optimized crystal structure of Li2LaCr, from Alexandria via LeMat-Bulk.

abc: 10.829 3.854 4.771
angles: 90.00 116.03 90.00
Space group C2/m (No. 12)
Symmetry-distinct sites (fractional):
Li  0.231  0.000  0.230 (multiplicity 4)
La  0.000  0.000  0.500 (multiplicity 2)
Cr  0.000  0.500  0.000 (multiplicity 2)

Computed properties:
**Energy relative to the lowest polymorph listed for this composition**: 0.000 eV per atom



Record 2
The following is a PBE calculation of an optimized crystal structure of PrCuTcH6, from Alexandria via LeMat-Bulk.

abc: 4.6466 4.6466 4.5085
angles: 90.00 90.00 120.00
Space group P-6m2 (No. 187)
Symmetry-distinct sites (fractional):
Pr  0.0000  0.0000  0.0000 (multiplicity 1)
Cu  0.3333  0.6667  0.5000 (multiplicity 1)
Tc  0.6667  0.3333  0.5000 (multiplicity 1)
H  0.5057  0.0115  0.2382 (multiplicity 6)

Computed properties:
**Energy**: -4.5535 eV per atom



Record 3
The following is a PBE calculation of an optimized crystal structure of Mg2PaTl, from Alexandria via LeMat-Bulk.

abc: 3.1849 3.1849 34.7834
angles: 90.00 90.00 120.00
Space group R-3m (No. 166, hexagonal axes)
Symmetry-distinct sites (fractional):
Mg  0.0000  0.0000  0.0918 (multiplicity 6)
Pa  0.0000  0.0000  0.0000 (multiplicity 3)
Tl  0.0000  0.0000  0.5000 (multiplicity 3)

Computed properties:
**Energy relative to the lowest polymorph listed for this composition**: 0.154 eV per atom



Record 4
The following is a PBE calculation of an optimized crystal structure of TlCd2Br, from Alexandria via LeMat-Bulk.

abc: 7.912 7.912 7.912
angles: 90.00 90.00 90.00
Space group Fm-3m (No. 225)
Symmetry-distinct sites (fractional):
Tl  0.000  0.000  0.000 (multiplicity 4)
Cd  0.250  0.250  0.250 (multiplicity 8)
Br  0.000  0.000  0.500 (multiplicity 4)

Computed properties:
**E_form (uncorrected)**: -0.076 eV/atom
**Energy relative to the lowest polymorph listed for this composition**: 0.223 eV per atom